Entry from Alexandria via LeMat-Bulk: AcSiAsRh6 after structural relaxation (GGA-PBE).

Unit cell a=7.8755 b=7.9125 c=11.1666 alpha=90.00 beta=90.00 gamma=90.00
Closest atoms and distances in Å follow each position.
Space group Imma (No. 74)
One atom of each set of equivalent atoms:
1 Ac 0.0000 0.2500 0.1318  6 Rh 2.88-2.91
2 Si 0.0000 0.0000 0.5000  6 Rh 2.33
3 As 0.2500 0.2500 0.7500  6 Rh 2.38-2.39
4 Rh 0.0000 0.2500 0.3901  2 Si 2.33
5 Rh 0.0000 0.2500 0.8714  2 As 2.39
6 Rh 0.2386 0.0077 0.6234  1 Si 2.33, 1 As 2.38

Properties
uncorrected formation energy	-155	kJ/mol of formula units



Entry from Alexandria via LeMat-Bulk: Pd2IF after structural relaxation (GGA-PBE).

Unit cell a=6.8581 b=6.8581 c=6.1029 alpha=90.00 beta=90.00 gamma=90.00
Closest atoms and distances in Å follow each position.
Space group I-42d (No. 122)
One atom of each set of equivalent atoms:
1 Pd 0.2181 0.2500 0.1250  2 F 2.40
2 I 0.0000 0.0000 0.5000  4 Pd 2.69
3 F 0.0000 0.0000 0.0000  4 Pd 2.40

Properties
uncorrected formation energy	-84	kJ/mol of formula units



Entry from Alexandria via LeMat-Bulk: Li2SmHg3 after structural relaxation (GGA-PBE).

Unit cell a=4.7005 b=4.7005 c=13.7411 alpha=90.00 beta=90.00 gamma=120.00
Closest atoms and distances in Å follow each position.
Space group P6_3/mmc (No. 194)
One atom of each set of equivalent atoms:
1 Li 0.3333 0.6667 0.0700  7 Hg 2.76-2.88
2 Sm 0.0000 0.0000 0.2500  8 Hg 3.17-3.44
3 Hg 0.0000 0.0000 0.0000  6 Li 2.88
4 Hg 0.3333 0.6667 0.6310  4 Li 2.76-2.84

Properties
formation energy	-2.32	eV per formula unit